Computed, not measured: a relaxed BaCoMo2S crystal at the PBE level of DFT.

Summary:
E above lowest polymorph	0	meV/atom
E_form (uncorrected)	0.6564	eV per atom

Cell lengths 4.703, 4.308, 4.703 Å; angles 90.00, 90.00, 90.00 degrees
Fractional positions:
S  0.000  0.000  0.000
Mo  0.000  0.000  0.500
Mo  0.500  0.000  0.000
Co  0.000  0.500  0.000
Ba  0.500  0.500  0.500